Density functional theory data (PBE) for crystalline NiSb2Os at its relaxed geometry.

Cell lengths 4.191, 3.337, 5.345 Å; angles 71.80, 90.00, 90.00 degrees
Positions (direct):
Ni (0.000, 0.717, 0.440)
Os (0.500, 0.544, 0.788)
Sb (0.000, 0.974, 0.926)
Sb (0.500, 0.265, 0.346)

Properties
Total energy   -6.13 eV/atom
Formation energy from raw total energies   0.75 eV per formula unit
Symmetry   Amm2
D(E_F)   2.7 states/eV/cell

Density functional theory data (PBE) for crystalline ZrHg2Pd2 at its relaxed geometry.

Cell lengths 3.867, 3.867, 7.418 Å; angles 74.89, 74.89, 90.00 degrees
Positions (direct):
Zr (0.000, 0.000, 0.000)
Hg (0.750, 0.250, 0.500)
Hg (0.250, 0.750, 0.500)
Pd (0.407, 0.407, 0.187)
Pd (0.593, 0.593, 0.813)

Properties
Total energy   -3.99 eV/atom
Symmetry   I4/mmm
D(E_F)   2.7 states/eV/cell
ΔE_f   -0.42 eV/f.u.

Number 2 is which compound? ZrHg2Pd2